Entry from the Alexandria database: a relaxed BeVReSi crystal (GGA-PBE).

Unit cell a=4.122 b=4.122 c=4.122 alpha=60.00 beta=60.00 gamma=60.00
Sites, in units of the cell vectors:
Be: 0.000 0.000 0.000
V: 0.750 0.750 0.750
Re: 0.500 0.500 0.500
Si: 0.250 0.250 0.250

Energy relative to the elements, uncorrected ... -0.189 eV per atom
Raw total energy ... -31.47 eV per formula unit
SG ... F-43m